*A*
VASP calculation (GGA-PBE) on BaNaCa2Si after structural relaxation.

- space-group type = P4/mmm
- total moment (μB/cell) = 0.000

a = 5.8254 Å, b = 5.3769 Å, c = 5.8254 Å
α = 90.00°, β = 90.00°, γ = 90.00°
Positions (direct):
Na 0.0000 0.0000 0.0000
Ca 0.0000 0.0000 0.5000
Ca 0.5000 0.0000 0.0000
Ba 0.5000 0.5000 0.5000
Si 0.0000 0.5000 0.0000

---

*B*
VASP calculation (GGA-PBE) on BaNaCa2Si after structural relaxation.

- space-group type = P4/mmm
- total moment (μB/cell) = 0.001

a = 5.8169 Å, b = 5.8169 Å, c = 6.5359 Å
α = 90.00°, β = 90.00°, γ = 90.00°
Positions (direct):
Ba 0.0000 0.0000 0.5000
Na 0.5000 0.5000 0.5000
Ca 0.0000 0.5000 0.0000
Ca 0.5000 0.0000 0.0000
Si 0.0000 0.0000 0.0000

---

*C*
VASP calculation (GGA-PBE) on BaNaCa2Si after structural relaxation.

- space-group type = P4/mmm
- total moment (μB/cell) = 0.001

a = 5.8199 Å, b = 5.9590 Å, c = 5.8199 Å
α = 90.00°, β = 90.00°, γ = 90.00°
Positions (direct):
Si 0.0000 0.0000 0.0000
Ca 0.5000 0.0000 0.0000
Ca 0.0000 0.0000 0.5000
Ba 0.5000 0.5000 0.5000
Na 0.0000 0.5000 0.0000

---

The data favor *B*; the next most stable structure lies 0.097 eV/atom above it.

---

*A*
VASP calculation (GGA-PBE) on Ba2NaCaZn after structural relaxation.

- space-group type = P4/mmm
- total moment (μB/cell) = 0.000

a = 6.4853 Å, b = 6.4853 Å, c = 5.9772 Å
α = 90.00°, β = 90.00°, γ = 90.00°
Positions (direct):
Na 0.5000 0.5000 0.5000
Ba 0.5000 0.0000 0.0000
Ba 0.0000 0.5000 0.0000
Ca 0.0000 0.0000 0.5000
Zn 0.0000 0.0000 0.0000

---

*B*
VASP calculation (GGA-PBE) on Ba2NaCaZn after structural relaxation.

- space-group type = P4/mmm
- total moment (μB/cell) = 0.000

a = 6.5602 Å, b = 6.5602 Å, c = 5.6557 Å
α = 90.00°, β = 90.00°, γ = 90.00°
Positions (direct):
Na 0.0000 0.0000 0.5000
Ba 0.0000 0.5000 0.0000
Ba 0.5000 0.0000 0.0000
Ca 0.5000 0.5000 0.5000
Zn 0.0000 0.0000 0.0000

---

The data favor *A*; the next most stable structure lies 0.077 eV/atom above it.

---

*A*
VASP calculation (GGA-PBE) on BaCaNb2 after structural relaxation.

- space-group type = I-42d
- total moment (μB/cell) = 3.809

a = 8.7520 Å, b = 8.7520 Å, c = 6.8609 Å
α = 50.37°, β = 50.37°, γ = 90.00°
Each line ends with the local moment (μB).
Positions (direct):
Nb 0.6191 0.1250 0.2500  0.71
Nb 0.1309 0.6250 0.2500  0.69
Nb 0.8750 0.8691 0.7500  0.68
Nb 0.3750 0.3809 0.7500  0.70
Ba 0.7500 0.2500 0.5000  0.07
Ba 0.0000 0.0000 0.0000  0.07
Ca 0.2500 0.7500 0.5000  0.07
Ca 0.5000 0.5000 0.0000  0.07

---

*B*
VASP calculation (GGA-PBE) on BaCaNb2 after structural relaxation.

- space-group type = Fm-3m
- total moment (μB/cell) = 5.331

a = 5.4548 Å, b = 5.4548 Å, c = 5.4548 Å
α = 60.00°, β = 60.00°, γ = 60.00°
Each line ends with the local moment (μB).
Positions (direct):
Nb 0.2500 0.2500 0.2500  1.78
Nb 0.7500 0.7500 0.7500  1.78
Ca 0.0000 0.0000 0.0000  0.14
Ba 0.5000 0.5000 0.5000  0.18

---

The data favor *B*; the next most stable structure lies 0.096 eV/atom above it.

---

*A*
VASP calculation (GGA-PBE) on BaCa2Nb after structural relaxation.

- space-group type = I-42d
- total moment (μB/cell) = 6.502

a = 4.9932 Å, b = 4.9932 Å, c = 12.8128 Å
α = 78.76°, β = 78.76°, γ = 90.00°
Each line ends with the local moment (μB).
Positions (direct):
Ca 0.1500 0.1250 0.2500  0.00
Ca 0.6000 0.6250 0.2500  0.00
Ca 0.8750 0.4000 0.7500  0.00
Ca 0.3750 0.8500 0.7500  0.00
Ba 0.0000 0.0000 0.0000  0.08
Ba 0.7500 0.2500 0.5000  0.08
Nb 0.2500 0.7500 0.5000  2.45
Nb 0.5000 0.5000 0.0000  2.44

---

*B*
VASP calculation (GGA-PBE) on BaCa2Nb after structural relaxation.

- space-group type = Fm-3m
- total moment (μB/cell) = 3.107

a = 5.8497 Å, b = 5.8497 Å, c = 5.8497 Å
α = 60.00°, β = 60.00°, γ = 60.00°
Each line ends with the local moment (μB).
Positions (direct):
Nb 0.0000 0.0000 0.0000  2.25
Ca 0.2500 0.2500 0.2500  0.02
Ca 0.7500 0.7500 0.7500  0.02
Ba 0.5000 0.5000 0.5000  -0.03

---

The data favor *B*; the next most stable structure lies 0.244 eV/atom above it.

---

*A*
VASP calculation (GGA-PBE) on BaCaSmNbO6 after structural relaxation.

- space-group type = P-1
- total moment (μB/cell) = 0.000

a = 5.9521 Å, b = 5.9557 Å, c = 8.5308 Å
α = 90.09°, β = 90.00°, γ = 90.18°
Positions (direct):
O 0.0833 0.4668 0.7674
O 0.9167 0.5332 0.2326
O 0.7831 0.1817 0.4987
O 0.1816 0.7830 0.0053
O 0.4628 0.0801 0.7326
O 0.6764 0.7149 0.5587
O 0.5372 0.9199 0.2674
O 0.7156 0.6769 0.9405
O 0.8184 0.2170 0.9947
O 0.2169 0.8183 0.5013
O 0.2844 0.3231 0.0595
O 0.3236 0.2851 0.4413
Sm 0.5000 0.0000 0.0000
Sm 0.0000 0.5000 0.5000
Ca 0.4844 0.4814 0.7493
Ca 0.5156 0.5186 0.2507
Nb 0.5000 0.0000 0.5000
Nb 0.0000 0.5000 0.0000
Ba 0.9866 0.9844 0.7500
Ba 0.0134 0.0156 0.2500

---

*B*
VASP calculation (GGA-PBE) on BaCaSmNbO6 after structural relaxation.

- space-group type = F-43m
- total moment (μB/cell) = 0.000

a = 6.0659 Å, b = 6.0659 Å, c = 6.0659 Å
α = 60.00°, β = 60.00°, γ = 60.00°
Positions (direct):
Nb 0.0000 0.0000 0.0000
O 0.7655 0.7655 0.2345
O 0.2345 0.7655 0.7655
O 0.7655 0.2345 0.2345
O 0.2345 0.2345 0.7655
O 0.2345 0.7655 0.2345
O 0.7655 0.2345 0.7655
Ba 0.2500 0.2500 0.2500
Sm 0.5000 0.5000 0.5000
Ca 0.7500 0.7500 0.7500

---

The data favor *A*; the next most stable structure lies 0.101 eV/atom above it.

---

*A*
VASP calculation (GGA-PBE) on BaCaNd2 after structural relaxation.

- space-group type = R-3m
- total moment (μB/cell) = 0.000

a = 3.8304 Å, b = 3.8304 Å, c = 13.0679 Å
α = 81.57°, β = 81.57°, γ = 60.00°
Positions (direct):
Nd 0.7462 0.7462 0.7615
Nd 0.2538 0.2538 0.2385
Ca 0.0000 0.0000 0.0000
Ba 0.5000 0.5000 0.5000

---

*B*
VASP calculation (GGA-PBE) on BaCaNd2 after structural relaxation.

- space-group type = P4/mmm
- total moment (μB/cell) = 0.000

a = 4.1832 Å, b = 4.1832 Å, c = 9.5974 Å
α = 90.00°, β = 90.00°, γ = 90.00°
Positions (direct):
Nd 0.0000 0.0000 0.2094
Nd 0.0000 0.0000 0.7906
Ca 0.5000 0.5000 0.0000
Ba 0.5000 0.5000 0.5000

---

The data favor *A*; the next most stable structure lies 0.016 eV/atom above it.